# 1
Entry from Alexandria: a relaxed structure of InPtO2 (PBE).

Properties
- DFT total energy (eV/atom) = -4.963
- size of the total moment (μB/atom) = 0.25

Cell: 5.2080 5.2080 9.4856 Å, 90.00 90.00 90.00°
Space group I-42d (No. 122)
One atom of each set of equivalent atoms:
In 0.0000 0.0000 0.0000
Pt 0.0000 0.0000 0.5000
O 0.2238 0.2500 0.1250

# 2
Entry from Alexandria: a relaxed structure of Na4SrPb (PBE).

Properties
- DFT formation energy (eV per formula unit) = -0.35
- size of the total moment (μB/atom) = 0.00

Cell: 9.2852 9.2852 9.2852 Å, 90.00 90.00 90.00°
Space group F-43m (No. 216)
One atom of each set of equivalent atoms:
Na 0.1243 0.1243 0.3757
Sr 0.0000 0.0000 0.0000
Pb 0.2500 0.2500 0.7500

# 3
Entry from Alexandria: a relaxed structure of BeFeRu2 (PBE).

Properties
- DFT formation energy (eV per formula unit) = 0.32
- size of the total moment (μB/atom) = 0.55

Cell: 2.8201 4.2604 8.0728 Å, 90.00 90.00 90.00°
Space group Immm (No. 71)
One atom of each set of equivalent atoms:
Be 0.0000 0.0000 0.0000
Fe 0.0000 0.0000 0.5000
Ru 0.0000 0.5000 0.2830

# 4
Entry from Alexandria: a relaxed structure of Tm2Hg2Au (PBE).

Properties
- DFT formation energy (eV per formula unit) = -2.50
- size of the total moment (μB/atom) = 0.00

Cell: 3.5756 19.8470 3.4318 Å, 90.00 90.00 90.00°
Space group Cmmm (No. 65)
One atom of each set of equivalent atoms:
Tm 0.0000 0.0913 0.0000
Hg 0.0000 0.3094 0.5000
Au 0.0000 0.5000 0.5000

no.,calculated density (g cm⁻³)
1,8.83
2,3.21
3,9.14
4,12.76